Entry 1:
Computed, not measured: a relaxed structure of MgB2S at the PBE level of DFT.

Values from the calculation:
Excess energy over the best structure of this formula in the dataset, kJ per mole of atoms: 11.37
Space group: Pm
Uncorrected energy, eV for the cell shown: -40.25
Uncorrected formation energy, meV/atom: -262

a b c (Å): 5.762 3.254 6.365
angles (deg): 90.00 114.28 90.00
Fractional positions:
B1 0.942 0.760 0.793
B2 0.136 0.000 0.046
B3 0.942 0.240 0.793
Mg1 0.907 0.000 0.416
B4 0.249 0.500 0.164
S1 0.275 0.500 0.490
Mg2 0.529 0.000 0.803
S2 0.585 0.500 0.139


Entry 2:
Computed, not measured: a relaxed structure of USbPdRu at the PBE level of DFT.

Values from the calculation:
Space group: F-43m
Uncorrected energy, eV for the cell shown: -30.71
Uncorrected formation energy, meV/atom: -207

a b c (Å): 4.776 4.776 4.776
angles (deg): 60.00 60.00 60.00
Fractional positions:
U1 0.500 0.500 0.500
Sb1 0.000 0.000 0.000
Ru1 0.750 0.750 0.750
Pd1 0.250 0.250 0.250


Entry 3:
Computed, not measured: a relaxed structure of ErSc6Sn4 at the PBE level of DFT.

Values from the calculation:
Space group: I-42m
Formation enthalpy at 0 K, kcal/mol of atoms: -6.25
Uncorrected energy, eV for the cell shown: -61.55

a b c (Å): 7.674 7.674 7.674
angles (deg): 85.73 122.50 122.50
Fractional positions:
Sc1 0.000 0.841 0.502
Sn1 0.000 0.188 0.620
Sn2 0.568 0.380 0.380
Sn3 0.000 0.620 0.188
Sc2 0.500 0.500 0.000
Sc3 0.661 0.159 0.159
Sn4 0.432 0.812 0.812
Er1 0.000 0.000 0.000
Sc4 0.500 0.000 0.500
Sc5 0.000 0.502 0.841
Sc6 0.339 0.498 0.498


Entry 4:
Computed, not measured: a relaxed structure of Sc2Ni3Os at the PBE level of DFT.

Values from the calculation:
Space group: C2/m
Formation enthalpy at 0 K, kcal/mol of atoms: -10.48
Uncorrected energy, eV for the cell shown: -43.96

a b c (Å): 4.903 4.903 5.056
angles (deg): 89.92 119.01 120.09
Fractional positions:
Ni1 0.500 0.000 0.500
Sc1 0.750 0.375 0.125
Sc2 0.250 0.625 0.875
Ni2 0.500 0.500 0.500
Ni3 0.000 0.000 0.500
Os1 0.000 0.000 0.000


Entry 5:
Computed, not measured: a relaxed structure of YZrHg4 at the PBE level of DFT.

Values from the calculation:
Excess energy over the best structure of this formula in the dataset, kJ per mole of atoms: 0.27
Space group: P2/m
Formation enthalpy at 0 K, kcal/mol of atoms: -4.71
Uncorrected energy, eV for the cell shown: -17.44

a b c (Å): 3.281 4.928 9.107
angles (deg): 90.00 68.95 90.00
Fractional positions:
Hg1 0.173 0.997 0.828
Hg2 0.829 0.997 0.169
Hg3 0.666 0.497 0.334
Y1 0.501 0.497 0.998
Zr1 0.001 0.997 0.498
Hg4 0.337 0.497 0.662


Entry 6:
Computed, not measured: a relaxed structure of CeZr4Pa3N8 at the PBE level of DFT.

Values from the calculation:
Space group: R-3m
Uncorrected energy, eV for the cell shown: -161.87
Uncorrected formation energy, meV/atom: -1666

a b c (Å): 6.714 6.828 6.714
angles (deg): 119.45 120.00 90.00
Fractional positions:
Zr1 0.000 0.000 0.500
Zr2 0.500 0.000 0.500
N1 0.260 0.769 0.520
N2 0.740 0.231 0.480
Ce1 0.000 0.500 0.000
Pa1 0.000 0.500 0.500
Pa2 0.500 0.500 0.500
N3 0.740 0.231 0.991
N4 0.244 0.232 0.488
Zr3 0.000 0.000 0.000
N5 0.250 0.231 0.991
N6 0.260 0.769 0.009
N7 0.750 0.769 0.009
N8 0.756 0.768 0.512
Pa3 0.500 0.500 0.000
Zr4 0.500 0.000 0.000


Entry 7:
Computed, not measured: a relaxed structure of Pm5Pr4Mg2 at the PBE level of DFT.

Values from the calculation:
Excess energy over the best structure of this formula in the dataset, kJ per mole of atoms: 0.98
Space group: P2/m
Formation enthalpy at 0 K, kcal/mol of atoms: 1.43
Uncorrected energy, eV for the cell shown: -45.38

a b c (Å): 3.523 8.907 11.707
angles (deg): 94.22 90.00 90.00
Fractional positions:
Pr1 0.500 0.719 0.548
Pm1 0.000 0.500 0.000
Mg1 0.000 0.947 0.369
Pm2 0.000 0.795 0.832
Pr2 0.500 0.852 0.115
Pr3 0.500 0.281 0.452
Pm3 0.000 0.570 0.294
Pm4 0.000 0.205 0.168
Pm5 0.000 0.430 0.706
Mg2 0.000 0.053 0.631
Pr4 0.500 0.148 0.885


Entry 8:
Computed, not measured: a relaxed structure of TmVNiRu at the PBE level of DFT.

Values from the calculation:
Space group: F-43m
Formation enthalpy at 0 K, kcal/mol of atoms: -3.51
Uncorrected energy, eV for the cell shown: -29.26

a b c (Å): 4.473 4.473 4.473
angles (deg): 60.00 60.00 60.00
Fractional positions:
Ni1 0.250 0.250 0.250
Ru1 0.750 0.750 0.750
Tm1 0.000 0.000 0.000
V1 0.500 0.500 0.500


Entry 9:
Computed, not measured: a relaxed structure of Fe11MoC4 at the PBE level of DFT.

Values from the calculation:
Excess energy over the best structure of this formula in the dataset, kJ per mole of atoms: 0.00
Space group: P1
Formation enthalpy at 0 K, kcal/mol of atoms: 1.48
Uncorrected energy, eV for the cell shown: -139.79

a b c (Å): 4.526 5.041 6.858
angles (deg): 89.55 90.42 89.38
Fractional positions:
Fe1 0.658 0.819 0.561
Fe2 0.675 0.823 0.919
Fe3 0.664 0.543 0.249
Fe4 0.833 0.034 0.252
C1 0.554 0.119 0.726
C2 0.437 0.879 0.271
Fe5 0.183 0.686 0.076
C3 0.063 0.379 0.253
Fe6 0.167 0.960 0.757
C4 0.944 0.632 0.724
Fe7 0.327 0.181 0.439
Fe8 0.333 0.459 0.754
Fe9 0.338 0.171 0.084
Mo1 0.836 0.319 0.938
Fe10 0.161 0.674 0.436
Fe11 0.828 0.323 0.562


Entry 10:
Computed, not measured: a relaxed structure of Dy2Ga8Au at the PBE level of DFT.

Values from the calculation:
Space group: P4/mmm
Formation enthalpy at 0 K, kcal/mol of atoms: -9.71
Uncorrected energy, eV for the cell shown: -41.33

a b c (Å): 4.385 4.385 11.241
angles (deg): 90.00 90.00 90.00
Fractional positions:
Ga1 0.500 0.500 0.691
Ga2 0.500 0.000 0.134
Dy1 0.000 0.000 0.313
Ga3 0.000 0.500 0.500
Ga4 0.000 0.500 0.134
Ga5 0.500 0.000 0.866
Ga6 0.500 0.000 0.500
Ga7 0.000 0.500 0.866
Dy2 0.000 0.000 0.687
Ga8 0.500 0.500 0.309
Au1 0.000 0.000 0.000


Entry 11:
Computed, not measured: a relaxed structure of CaTa2Re at the PBE level of DFT.

Values from the calculation:
Excess energy over the best structure of this formula in the dataset, kJ per mole of atoms: 0.20
Space group: P4/mmm
Formation enthalpy at 0 K, kcal/mol of atoms: 8.29
Uncorrected energy, eV for the cell shown: -36.72

a b c (Å): 3.170 3.170 8.430
angles (deg): 90.00 90.00 90.00
Fractional positions:
Ta1 0.000 0.000 0.935
Re1 0.500 0.500 0.750
Ca1 0.500 0.500 0.250
Ta2 0.000 0.000 0.565


Entry 12:
Computed, not measured: a relaxed structure of Sm3As2Rh7 at the PBE level of DFT.

Values from the calculation:
Space group: P2/m
Formation enthalpy at 0 K, kcal/mol of atoms: -13.73
Uncorrected energy, eV for the cell shown: -82.06

a b c (Å): 4.126 4.326 12.824
angles (deg): 88.74 90.00 90.00
Fractional positions:
Rh1 0.500 0.729 0.748
As1 0.000 0.266 0.161
Rh2 0.000 0.740 0.588
As2 0.000 0.734 0.839
Sm1 0.500 0.500 0.000
Rh3 0.000 0.238 0.763
Rh4 0.000 0.260 0.412
Rh5 0.000 0.762 0.237
Sm2 0.500 0.242 0.602
Sm3 0.500 0.758 0.398
Rh6 0.500 0.271 0.252
Rh7 0.000 0.000 0.000